Compound: Rb2InPdO4
Source: Alexandria via LeMat-Bulk
Functional: GGA-PBE
Structure: relaxed

Cell lengths 6.1314, 7.7219, 11.1138 Å; angles 83.71, 73.99, 66.61 degrees
Closest atoms and distances in Å follow each position.
Atoms (fractional coordinates):
Rb 0.1811 0.0000 0.6377  2 O 2.66
Rb 0.8189 0.0000 0.3623  2 O 2.66
Rb 0.5689 0.5000 0.8623  2 O 2.66
Rb 0.9311 0.5000 0.1377  2 O 2.66
In 0.7500 0.5000 0.5000  4 O 2.11
In 0.0000 0.0000 0.0000  4 O 2.11
Pd 0.2500 0.5000 0.5000  4 O 2.00
Pd 0.5000 0.0000 0.0000  4 O 2.00
O 0.3563 0.8077 0.0040  1 Pd 2.00, 1 In 2.11
O 0.1680 0.1923 0.9960  1 Pd 2.00, 1 In 2.11
O 0.8360 0.8077 0.9960  1 Pd 2.00, 1 In 2.11
O 0.6397 0.1923 0.0040  1 Pd 2.00, 1 In 2.11
O 0.3937 0.6923 0.4960  1 Pd 2.00, 1 In 2.11
O 0.5820 0.3077 0.5040  1 Pd 2.00, 1 In 2.11
O 0.9140 0.6923 0.5040  1 Pd 2.00, 1 In 2.11
O 0.1103 0.3077 0.4960  1 Pd 2.00, 1 In 2.11

Properties
- DFT total energy: -4.65 eV/atom
- Crystal system: orthorhombic
- Formation energy (no corrections): -0.93 eV per atom
- Calculated density: 3.264 g cm⁻³
- Volume: 29.01 Å³/atom